{"formula": "NaLaTlIn", "functional": "PBE-GGA", "state": "optimized geometry", "ef_mev_per_atom": -313, "spacegroup": "F-43m", "total_energy_ev_per_atom": -3.1505, "lattice": [[5.480, 0.000, 0.000], [2.740, 4.746, 0.000], [2.740, 1.582, 4.475]], "species": ["Tl", "In", "La", "Na"], "frac_coords": [[0.250, 0.250, 0.250], [0.750, 0.750, 0.750], [0.500, 0.500, 0.500], [0.000, 0.000, 0.000]]}